Entry from Alexandria via LeMat-Bulk: crystalline KMo3I at its relaxed geometry (PBE-GGA).

a = 4.7064 Å, b = 4.7064 Å, c = 4.7064 Å
α = 90.00°, β = 90.00°, γ = 90.00°
Atoms (fractional coordinates):
I 0.5000 0.5000 0.5000
Mo 0.0000 0.5000 0.0000
Mo 0.0000 0.0000 0.5000
Mo 0.5000 0.0000 0.0000
K 0.0000 0.0000 0.0000

Output
formation energy from raw total energies: 3.32 eV/atom
E_tot: -3.71 eV/atom
space group: No. 221
mass density: 7.23 Mg/m³
distance to the lowest polymorph of the same formula: 1169.7 meV/atom



Entry from Alexandria via LeMat-Bulk: crystalline K2NaMoI6 at its relaxed geometry (PBE-GGA).

a = 8.3907 Å, b = 8.3907 Å, c = 8.3907 Å
α = 60.00°, β = 60.00°, γ = 60.00°
Site moments in Bohr magnetons follow the coordinates.
Atoms (fractional coordinates):
K 0.7500 0.7500 0.7500  0.00
K 0.2500 0.2500 0.2500  0.00
Na 0.5000 0.5000 0.5000  0.00
Mo 0.0000 0.0000 0.0000  2.44
I 0.2369 0.7631 0.2369  0.01
I 0.7631 0.2369 0.2369  0.01
I 0.7631 0.2369 0.7631  0.01
I 0.2369 0.2369 0.7631  0.01
I 0.7631 0.7631 0.2369  0.01
I 0.2369 0.7631 0.7631  0.01

Output
formation energy from raw total energies: -0.83 eV/atom
E_tot: -3.20 eV/atom
space group: No. 225
mass density: 3.81 Mg/m³



Entry from Alexandria via LeMat-Bulk: crystalline KNaMoI6 at its relaxed geometry (PBE-GGA).

a = 7.9572 Å, b = 7.9572 Å, c = 14.3821 Å
α = 90.00°, β = 90.00°, γ = 120.00°
Site moments in Bohr magnetons follow the coordinates.
Atoms (fractional coordinates):
K 0.0000 0.0000 0.0000  0.00
K 0.0000 0.0000 0.5000  0.00
Na 0.3333 0.6667 0.2500  0.00
Na 0.6667 0.3333 0.7500  0.00
Mo 0.6667 0.3333 0.2500  1.80
Mo 0.3333 0.6667 0.7500  1.80
I 0.6491 0.6088 0.1373  -0.01
I 0.9597 0.3509 0.1373  -0.01
I 0.3509 0.9597 0.6373  -0.01
I 0.0403 0.6491 0.8627  -0.01
I 0.3912 0.3509 0.3627  -0.01
I 0.9597 0.6088 0.3627  -0.01
I 0.6088 0.9597 0.8627  -0.01
I 0.6491 0.0403 0.3627  -0.01
I 0.0403 0.3912 0.6373  -0.01
I 0.3912 0.0403 0.1373  -0.01
I 0.6088 0.6491 0.6373  -0.01
I 0.3509 0.3912 0.8627  -0.01

Output
formation energy from raw total energies: -0.65 eV/atom
E_tot: -3.15 eV/atom
space group: No. 163
mass density: 3.87 Mg/m³



Entry from Alexandria via LeMat-Bulk: crystalline KNa2MoI8 at its relaxed geometry (PBE-GGA).

a = 7.4877 Å, b = 6.6088 Å, c = 10.1712 Å
α = 89.87°, β = 89.99°, γ = 91.26°
Site moments in Bohr magnetons follow the coordinates.
Atoms (fractional coordinates):
K 0.0000 0.0000 0.5000  0.00
Na 0.5003 0.4990 0.7807  0.00
Na 0.4997 0.5010 0.2193  0.00
Mo 0.0000 0.0000 0.0000  1.89
I 0.1338 0.7550 0.1978  -0.01
I 0.6790 0.7782 0.9993  -0.02
I 0.8645 0.2437 0.1970  -0.01
I 0.8662 0.2450 0.8022  -0.01
I 0.3210 0.2218 0.0007  -0.02
I 0.1355 0.7563 0.8030  -0.01
I 0.5174 0.7524 0.5000  0.00
I 0.4826 0.2476 0.5000  0.00

Output
formation energy from raw total energies: -0.66 eV/atom
E_tot: -2.90 eV/atom
space group: No. 2
mass density: 3.95 Mg/m³



Entry from Alexandria via LeMat-Bulk: crystalline KNa2MoI at its relaxed geometry (PBE-GGA).

a = 6.5493 Å, b = 6.2455 Å, c = 6.5493 Å
α = 90.00°, β = 90.00°, γ = 90.00°
Site moments in Bohr magnetons follow the coordinates.
Atoms (fractional coordinates):
I 0.5000 0.5000 0.5000  0.04
Na 0.0000 0.0000 0.5000  0.00
Na 0.5000 0.0000 0.0000  0.02
Mo 0.0000 0.5000 0.0000  4.06
K 0.0000 0.0000 0.0000  0.06

Output
formation energy from raw total energies: 1.13 eV/atom
E_tot: -2.09 eV/atom
space group: No. 123
mass density: 1.91 Mg/m³